DFT (PBEsol) results for a relaxed Al4SiCl crystal.

Calculated values
Uncorrected formation energy ... 0.295 eV/atom
Total magnetic moment ... 0.00 μB per cell
Total DFT energy (no corrections) ... -22.353 eV/cell
Calculated volume ... 110.6 Å³ per cell
Space-group type ... F-43m, No. 216

Cell lengths 5.388, 5.388, 5.388 Å; angles 60.00, 60.00, 60.00 degrees
Fractional positions:
Al (0.125, 0.125, 0.125)
Al (0.125, 0.125, 0.625)
Al (0.125, 0.625, 0.125)
Al (0.625, 0.125, 0.125)
Si (0.750, 0.750, 0.750)
Cl (0.500, 0.500, 0.500)

---

DFT (PBEsol) results for a relaxed BaNaIr3 crystal.

Calculated values
Total magnetic moment ... 1.59 μB per cell
Total DFT energy (no corrections) ... -20.183 eV/cell
Calculated volume ... 134.5 Å³ per cell
Energy of formation ... 1238.5 kJ/mol of formula units
Space-group type ... Pm-3m, No. 221

Cell lengths 5.123, 5.123, 5.123 Å; angles 90.00, 90.00, 90.00 degrees
Fractional positions:
Ba (0.000, 0.000, 0.000)
Na (0.500, 0.500, 0.500)
Ir (0.000, 0.000, 0.500)
Ir (0.000, 0.500, 0.000)
Ir (0.500, 0.000, 0.000)

---

DFT (PBEsol) results for a relaxed FeCuSnC2 crystal.

Calculated values
Total magnetic moment ... 2.44 μB per cell
Total DFT energy (no corrections) ... -27.382 eV/cell
Calculated volume ... 66.7 Å³ per cell
Energy of formation ... 913.0 kJ/mol of formula units
Space-group type ... P4/mmm, No. 123

Cell lengths 3.728, 3.728, 4.801 Å; angles 90.00, 90.00, 90.00 degrees
Fractional positions:
Fe (0.000, 0.000, 0.000)
Cu (0.000, 0.000, 0.500)
Sn (0.500, 0.500, 0.000)
C (0.000, 0.500, 0.500)
C (0.500, 0.000, 0.500)

---

DFT (PBEsol) results for a relaxed CrNiO2F crystal.

Calculated values
Uncorrected formation energy ... -0.961 eV/atom
Total magnetic moment ... 3.07 μB per cell
Total DFT energy (no corrections) ... -33.628 eV/cell
Calculated volume ... 50.9 Å³ per cell
Space-group type ... P4/mmm, No. 123

Cell lengths 3.676, 3.676, 3.767 Å; angles 90.00, 90.00, 90.00 degrees
Fractional positions:
Cr (0.000, 0.000, 0.000)
Ni (0.500, 0.500, 0.500)
O (0.000, 0.500, 0.000)
O (0.500, 0.000, 0.000)
F (0.000, 0.000, 0.500)